# 1
Below is an optimized crystal structure of Y6Ho2Tl, with properties calculated at the PBE level.

Calculated values
Volume = 30.9 A^3/atom
DOS at the Fermi energy = 14.857 states/eV/f.u.
Space group = P4_2/mnm, No. 136
ΔE to the lowest computed polymorph = 0.065 eV/atom

abc: 10.645 10.645 4.908
angles: 90.00 90.00 90.00
Atoms (fractional coordinates):
Y (0.002, 0.334, 0.000)
Y (0.159, 0.841, 0.500)
Y (0.166, 0.502, 0.500)
Y (0.334, 0.002, 0.000)
Y (0.341, 0.341, 0.000)
Y (0.498, 0.834, 0.500)
Y (0.502, 0.166, 0.500)
Y (0.659, 0.659, 0.000)
Y (0.666, 0.998, 0.000)
Y (0.834, 0.498, 0.500)
Y (0.841, 0.159, 0.500)
Y (0.998, 0.666, 0.000)
Ho (0.165, 0.165, 0.500)
Ho (0.335, 0.665, 0.000)
Ho (0.665, 0.335, 0.000)
Ho (0.835, 0.835, 0.500)
Tl (0.000, 0.000, 0.000)
Tl (0.500, 0.500, 0.500)



# 2
Below is an optimized crystal structure of Y3Ho4Tl2, with properties calculated at the PBE level.

Calculated values
Electronic total energy = -4.814 eV per atom
Volume = 30.7 A^3/atom
DOS at the Fermi energy = 11.036 states/eV/f.u.
Space group = C2/m, No. 12

abc: 8.861 8.861 8.841
angles: 92.34 92.34 23.49
Atoms (fractional coordinates):
Y (0.000, 0.000, 0.000)
Y (0.167, 0.167, 0.579)
Y (0.833, 0.833, 0.421)
Ho (0.189, 0.189, 0.172)
Ho (0.465, 0.465, 0.668)
Ho (0.535, 0.535, 0.332)
Ho (0.811, 0.811, 0.828)
Tl (0.367, 0.367, 0.130)
Tl (0.633, 0.633, 0.870)



# 3
Below is an optimized crystal structure of YHo5Tl4, with properties calculated at the PBE level.

Calculated values
Electronic total energy = -3.884 eV per atom
Volume = 32.0 A^3/atom
DOS at the Fermi energy = 10.821 states/eV/f.u.
Space group = Pmmn, No. 59

abc: 8.195 9.323 8.375
angles: 90.00 90.00 90.00
Atoms (fractional coordinates):
Y (0.250, 0.250, 0.169)
Y (0.750, 0.750, 0.831)
Ho (0.010, 0.555, 0.230)
Ho (0.010, 0.945, 0.230)
Ho (0.250, 0.750, 0.581)
Ho (0.490, 0.555, 0.230)
Ho (0.490, 0.945, 0.230)
Ho (0.510, 0.055, 0.770)
Ho (0.510, 0.445, 0.770)
Ho (0.750, 0.250, 0.419)
Ho (0.990, 0.055, 0.770)
Ho (0.990, 0.445, 0.770)
Tl (0.079, 0.750, 0.938)
Tl (0.250, 0.083, 0.498)
Tl (0.250, 0.417, 0.498)
Tl (0.421, 0.750, 0.938)
Tl (0.579, 0.250, 0.062)
Tl (0.750, 0.583, 0.502)
Tl (0.750, 0.917, 0.502)
Tl (0.921, 0.250, 0.062)



# 4
Below is an optimized crystal structure of YHoTl3, with properties calculated at the PBE level.

Calculated values
Electronic total energy = -3.659 eV per atom
Volume = 30.4 A^3/atom
DOS at the Fermi energy = 3.643 states/eV/f.u.
Space group = Cmcm, No. 63

abc: 7.370 7.370 6.448
angles: 90.00 90.00 119.88
Atoms (fractional coordinates):
Y (0.167, 0.833, 0.750)
Y (0.833, 0.167, 0.250)
Ho (0.500, 0.500, 0.000)
Ho (0.500, 0.500, 0.500)
Tl (0.102, 0.300, 0.750)
Tl (0.300, 0.102, 0.250)
Tl (0.301, 0.699, 0.250)
Tl (0.699, 0.301, 0.750)
Tl (0.700, 0.898, 0.750)
Tl (0.898, 0.700, 0.250)



# 5
Below is an optimized crystal structure of YHo2Tl4, with properties calculated at the PBE level.

Calculated values
Volume = 30.1 A^3/atom
DOS at the Fermi energy = 6.739 states/eV/f.u.
Space group = P2/m, No. 10
ΔE to the lowest computed polymorph = 0.224 eV/atom

abc: 5.948 3.477 10.423
angles: 90.00 102.44 90.00
Atoms (fractional coordinates):
Y (0.000, 0.000, 0.000)
Ho (0.280, 0.500, 0.590)
Ho (0.720, 0.500, 0.410)
Tl (0.159, 0.500, 0.277)
Tl (0.432, 0.000, 0.851)
Tl (0.568, 0.000, 0.149)
Tl (0.841, 0.500, 0.723)



# 6
Below is an optimized crystal structure of Y8Ho2Tl, with properties calculated at the PBE level.

Calculated values
Electronic total energy = -5.788 eV per atom
Volume = 31.6 A^3/atom
DOS at the Fermi energy = 16.538 states/eV/f.u.
Space group = C2/m, No. 12

abc: 10.112 10.112 6.442
angles: 94.92 94.92 31.98
Atoms (fractional coordinates):
Y (0.045, 0.045, 0.266)
Y (0.155, 0.155, 0.801)
Y (0.338, 0.338, 0.876)
Y (0.421, 0.421, 0.401)
Y (0.579, 0.579, 0.599)
Y (0.662, 0.662, 0.124)
Y (0.845, 0.845, 0.199)
Y (0.955, 0.955, 0.734)
Ho (0.243, 0.243, 0.337)
Ho (0.757, 0.757, 0.663)
Tl (0.500, 0.500, 0.000)



# 7
Below is an optimized crystal structure of YHo2Tl2, with properties calculated at the PBE level.

Calculated values
Electronic total energy = -4.358 eV per atom
Volume = 28.1 A^3/atom
DOS at the Fermi energy = 3.516 states/eV/f.u.
Space group = P-1, No. 2

abc: 5.249 6.624 9.095
angles: 103.20 90.03 113.24
Atoms (fractional coordinates):
Y (0.066, 0.133, 0.354)
Y (0.934, 0.867, 0.646)
Ho (0.250, 0.501, 0.751)
Ho (0.431, 0.865, 0.143)
Ho (0.569, 0.135, 0.857)
Ho (0.750, 0.499, 0.249)
Tl (0.138, 0.271, 0.043)
Tl (0.364, 0.729, 0.454)
Tl (0.636, 0.271, 0.546)
Tl (0.862, 0.729, 0.957)



# 8
Below is an optimized crystal structure of YHo6Tl2, with properties calculated at the PBE level.

Calculated values
Volume = 33.0 A^3/atom
DOS at the Fermi energy = 13.186 states/eV/f.u.
Space group = I-42m, No. 121
ΔE to the lowest computed polymorph = 0.535 eV/atom

abc: 8.802 8.802 8.802
angles: 138.42 138.42 60.26
Atoms (fractional coordinates):
Y (0.000, 0.000, 0.000)
Ho (0.237, 0.590, 0.000)
Ho (0.250, 0.750, 0.500)
Ho (0.410, 0.410, 0.647)
Ho (0.590, 0.237, 0.000)
Ho (0.750, 0.250, 0.500)
Ho (0.763, 0.763, 0.353)
Tl (0.212, 0.212, 0.000)
Tl (0.788, 0.788, 0.000)



# 9
Below is an optimized crystal structure of Y12Ho6Tl, with properties calculated at the PBE level.

Calculated values
Electronic total energy = -5.572 eV per atom
Volume = 32.0 A^3/atom
DOS at the Fermi energy = 29.704 states/eV/f.u.
Space group = R-3, No. 148

abc: 8.474 8.474 8.474
angles: 88.69 88.69 88.69
Atoms (fractional coordinates):
Y (0.039, 0.282, 0.934)
Y (0.066, 0.961, 0.718)
Y (0.136, 0.320, 0.487)
Y (0.282, 0.934, 0.039)
Y (0.320, 0.487, 0.136)
Y (0.487, 0.136, 0.320)
Y (0.513, 0.864, 0.680)
Y (0.680, 0.513, 0.864)
Y (0.718, 0.066, 0.961)
Y (0.864, 0.680, 0.513)
Y (0.934, 0.039, 0.282)
Y (0.961, 0.718, 0.066)
Ho (0.209, 0.596, 0.759)
Ho (0.241, 0.791, 0.404)
Ho (0.404, 0.241, 0.791)
Ho (0.596, 0.759, 0.209)
Ho (0.759, 0.209, 0.596)
Ho (0.791, 0.404, 0.241)
Tl (0.500, 0.500, 0.500)



# 10
Below is an optimized crystal structure of Y4Ho3Tl, with properties calculated at the PBE level.

Calculated values
Electronic total energy = -5.315 eV per atom
Volume = 30.5 A^3/atom
DOS at the Fermi energy = 10.706 states/eV/f.u.
Space group = Pmn2_1, No. 31

abc: 11.206 7.048 6.171
angles: 90.00 90.00 90.00
Atoms (fractional coordinates):
Y (0.000, 0.131, 0.000)
Y (0.000, 0.868, 0.530)
Y (0.239, 0.127, 0.361)
Y (0.261, 0.873, 0.861)
Y (0.500, 0.132, 0.030)
Y (0.500, 0.869, 0.500)
Y (0.739, 0.873, 0.861)
Y (0.761, 0.127, 0.361)
Ho (0.000, 0.630, 0.002)
Ho (0.244, 0.614, 0.335)
Ho (0.256, 0.386, 0.835)
Ho (0.500, 0.370, 0.502)
Ho (0.744, 0.386, 0.835)
Ho (0.756, 0.614, 0.335)
Tl (0.000, 0.378, 0.515)
Tl (0.500, 0.622, 0.015)



# 11
Below is an optimized crystal structure of Y2Ho2Tl3, with properties calculated at the PBE level.

Calculated values
Volume = 28.5 A^3/atom
DOS at the Fermi energy = 7.245 states/eV/f.u.
Space group = C2/m, No. 12
ΔE to the lowest computed polymorph = 0.000 eV/atom

abc: 6.781 6.781 8.276
angles: 100.16 100.16 32.28
Atoms (fractional coordinates):
Y (0.202, 0.202, 0.151)
Y (0.798, 0.798, 0.849)
Ho (0.068, 0.068, 0.719)
Ho (0.932, 0.932, 0.281)
Tl (0.354, 0.354, 0.545)
Tl (0.500, 0.500, 0.000)
Tl (0.646, 0.646, 0.455)



# 12
Below is an optimized crystal structure of YHoTlZn, with properties calculated at the PBE level.

Calculated values
Volume = 25.1 A^3/atom
DOS at the Fermi energy = 4.092 states/eV/f.u.
Space group = F-43m, No. 216
ΔE to the lowest computed polymorph = 0.025 eV/atom

abc: 5.218 5.218 5.218
angles: 60.00 60.00 60.00
Atoms (fractional coordinates):
Y (0.000, 0.000, 0.000)
Ho (0.500, 0.500, 0.500)
Tl (0.750, 0.750, 0.750)
Zn (0.250, 0.250, 0.250)



# 13
Below is an optimized crystal structure of YHoTlZn, with properties calculated at the PBE level.

Calculated values
Volume = 24.9 A^3/atom
DOS at the Fermi energy = 3.142 states/eV/f.u.
Space group = P4mm, No. 99
ΔE to the lowest computed polymorph = 0.000 eV/atom

abc: 3.664 3.664 7.407
angles: 90.00 90.00 90.00
Atoms (fractional coordinates):
Y (0.000, 0.000, 0.000)
Ho (0.000, 0.000, 0.542)
Tl (0.500, 0.500, 0.273)
Zn (0.500, 0.500, 0.767)



# 14
Below is an optimized crystal structure of Y2HoTl2Zn2, with properties calculated at the PBE level.

Calculated values
Electronic total energy = -3.707 eV per atom
Volume = 25.4 A^3/atom
DOS at the Fermi energy = 3.022 states/eV/f.u.
Space group = R-3m, No. 166

abc: 9.586 9.586 9.586
angles: 28.52 28.52 28.52
Atoms (fractional coordinates):
Y (0.126, 0.126, 0.126)
Y (0.874, 0.874, 0.874)
Ho (0.000, 0.000, 0.000)
Tl (0.262, 0.262, 0.262)
Tl (0.738, 0.738, 0.738)
Zn (0.390, 0.390, 0.390)
Zn (0.610, 0.610, 0.610)



# 15
Below is an optimized crystal structure of Ho7Tl4Zn, with properties calculated at the PBE level.

Calculated values
Electronic total energy = -3.617 eV per atom
Volume = 29.9 A^3/atom
DOS at the Fermi energy = 14.080 states/eV/f.u.
Space group = C2/m, No. 12

abc: 7.933 7.933 11.165
angles: 125.30 125.30 40.35
Atoms (fractional coordinates):
Ho (0.000, 0.000, 0.000)
Ho (0.151, 0.151, 0.582)
Ho (0.286, 0.286, 0.134)
Ho (0.426, 0.426, 0.688)
Ho (0.574, 0.574, 0.312)
Ho (0.714, 0.714, 0.866)
Ho (0.849, 0.849, 0.418)
Tl (0.073, 0.073, 0.781)
Tl (0.212, 0.212, 0.340)
Tl (0.788, 0.788, 0.660)
Tl (0.927, 0.927, 0.219)
Zn (0.500, 0.500, 0.000)



# 16
Below is an optimized crystal structure of Ho3TlZn2, with properties calculated at the PBE level.

Calculated values
Electronic total energy = -3.452 eV per atom
Volume = 23.9 A^3/atom
DOS at the Fermi energy = 6.631 states/eV/f.u.
Space group = P4/mmm, No. 123

abc: 3.577 3.577 11.217
angles: 90.00 90.00 90.00
Atoms (fractional coordinates):
Ho (0.000, 0.000, 0.000)
Ho (0.000, 0.000, 0.312)
Ho (0.000, 0.000, 0.688)
Tl (0.500, 0.500, 0.500)
Zn (0.500, 0.500, 0.153)
Zn (0.500, 0.500, 0.847)



# 17
Below is an optimized crystal structure of Ho4Tl5Zn2, with properties calculated at the PBE level.

Calculated values
Electronic total energy = -3.242 eV per atom
Volume = 25.6 A^3/atom
DOS at the Fermi energy = 7.738 states/eV/f.u.
Space group = P2/m, No. 10

abc: 8.100 3.631 9.561
angles: 90.00 91.50 90.00
Atoms (fractional coordinates):
Ho (0.208, 0.000, 0.356)
Ho (0.233, 0.000, 0.907)
Ho (0.767, 0.000, 0.093)
Ho (0.792, 0.000, 0.644)
Tl (0.133, 0.500, 0.634)
Tl (0.442, 0.500, 0.158)
Tl (0.500, 0.500, 0.500)
Tl (0.558, 0.500, 0.842)
Tl (0.867, 0.500, 0.366)
Zn (0.075, 0.500, 0.121)
Zn (0.925, 0.500, 0.879)



# 18
Below is an optimized crystal structure of Ho8Tl2Zn, with properties calculated at the PBE level.

Calculated values
Electronic total energy = -4.022 eV per atom
Volume = 28.5 A^3/atom
DOS at the Fermi energy = 11.926 states/eV/f.u.
Space group = C2/m, No. 12

abc: 9.588 9.588 6.754
angles: 102.59 102.59 31.17
Atoms (fractional coordinates):
Ho (0.017, 0.017, 0.270)
Ho (0.202, 0.202, 0.801)
Ho (0.347, 0.347, 0.528)
Ho (0.409, 0.409, 0.042)
Ho (0.591, 0.591, 0.958)
Ho (0.653, 0.653, 0.472)
Ho (0.798, 0.798, 0.199)
Ho (0.983, 0.983, 0.730)
Tl (0.187, 0.187, 0.246)
Tl (0.813, 0.813, 0.754)
Zn (0.500, 0.500, 0.500)



# 19
Below is an optimized crystal structure of Ho2TlZn2, with properties calculated at the PBE level.

Calculated values
Electronic total energy = -3.071 eV per atom
Volume = 23.0 A^3/atom
DOS at the Fermi energy = 3.931 states/eV/f.u.
Space group = Immm, No. 71

abc: 5.822 5.822 5.822
angles: 136.98 118.30 78.16
Atoms (fractional coordinates):
Ho (0.212, 0.212, 0.000)
Ho (0.788, 0.788, 0.000)
Tl (0.500, 0.000, 0.500)
Zn (0.205, 0.500, 0.705)
Zn (0.795, 0.500, 0.295)



# 20
Below is an optimized crystal structure of Ho5Tl2Zn, with properties calculated at the PBE level.

Calculated values
Electronic total energy = -3.647 eV per atom
Volume = 28.8 A^3/atom
DOS at the Fermi energy = 6.935 states/eV/f.u.
Space group = Cmcm, No. 63

abc: 6.985 6.985 12.821
angles: 90.00 90.00 132.58
Atoms (fractional coordinates):
Ho (0.056, 0.944, 0.610)
Ho (0.056, 0.944, 0.890)
Ho (0.383, 0.617, 0.550)
Ho (0.383, 0.617, 0.950)
Ho (0.406, 0.594, 0.250)
Ho (0.594, 0.406, 0.750)
Ho (0.617, 0.383, 0.050)
Ho (0.617, 0.383, 0.450)
Ho (0.944, 0.056, 0.110)
Ho (0.944, 0.056, 0.390)
Tl (0.201, 0.799, 0.121)
Tl (0.201, 0.799, 0.379)
Tl (0.799, 0.201, 0.621)
Tl (0.799, 0.201, 0.879)
Zn (0.243, 0.757, 0.750)
Zn (0.757, 0.243, 0.250)



# 21
Below is an optimized crystal structure of Ho8TlZn2, with properties calculated at the PBE level.

Calculated values
Volume = 27.2 A^3/atom
DOS at the Fermi energy = 8.980 states/eV/f.u.
Space group = C2/m, No. 12
ΔE to the lowest computed polymorph = 0.000 eV/atom

abc: 8.428 8.428 8.255
angles: 117.28 117.28 35.58
Atoms (fractional coordinates):
Ho (0.066, 0.066, 0.223)
Ho (0.150, 0.150, 0.709)
Ho (0.314, 0.314, 0.536)
Ho (0.396, 0.396, 0.035)
Ho (0.604, 0.604, 0.965)
Ho (0.686, 0.686, 0.464)
Ho (0.850, 0.850, 0.291)
Ho (0.934, 0.934, 0.777)
Tl (0.500, 0.500, 0.500)
Zn (0.219, 0.219, 0.117)
Zn (0.781, 0.781, 0.883)



# 22
Below is an optimized crystal structure of Ho3Tl2Zn4, with properties calculated at the PBE level.

Calculated values
Electronic total energy = -2.940 eV per atom
Volume = 22.0 A^3/atom
DOS at the Fermi energy = 5.294 states/eV/f.u.
Space group = C2/m, No. 12

abc: 5.822 5.822 8.812
angles: 112.49 112.49 46.91
Atoms (fractional coordinates):
Ho (0.000, 0.000, 0.000)
Ho (0.336, 0.336, 0.326)
Ho (0.664, 0.664, 0.674)
Tl (0.386, 0.386, 0.724)
Tl (0.614, 0.614, 0.276)
Zn (0.066, 0.066, 0.411)
Zn (0.280, 0.280, 0.962)
Zn (0.720, 0.720, 0.038)
Zn (0.934, 0.934, 0.589)